No. 1
VASP calculation (PBE-GGA) on a geometry-optimized LaPaZn structure.

Properties
For the formation energy from the elements, the calculation gives 1.0 eV per formula unit. The total magnetization is 1.90 μB/cell. Its space group is P4/nmm, No. 129. The distance to the lowest polymorph of the same formula is 248 meV per atom. The value obtained for the final energy is -4.8953 eV/atom.

Structure (POSCAR):
```
LaPaZn
1.0
-1.469 0.631 -3.961
-0.673 -4.197 -0.419
-7.908 0.960 3.086
Zn La Pa
2 2 2
Cartesian
-6.101 -1.398 2.040 Zn
-2.878 0.576 -1.144 Zn
-1.071 -1.783 -2.190 La
0.000 0.000 0.000 La
-5.503 0.894 -0.119 Pa
-3.476 -1.717 1.016 Pa
```

=====

No. 2
VASP calculation (PBE-GGA) on a geometry-optimized ZnMo2Au structure.

Properties
For the formation energy from the elements, the calculation gives 1.3 eV per formula unit. The total magnetization is 0.00 μB/cell. Its space group is R-3m, No. 166. The value obtained for the final energy is -6.2327 eV/atom.

Structure (POSCAR):
```
ZnMo2Au
1.0
-5.298 -7.304 2.915
-4.027 -8.554 0.737
-2.758 -8.472 3.249
Au Mo Zn
1 2 1
Cartesian
-9.062 -18.247 5.175 Au
-12.056 -24.275 6.885 Mo
-6.068 -12.219 3.466 Mo
-3.021 -6.082 1.725 Zn
```

=====

Q: The highest formation energy from the elements belongs to which entry?
A: ZnMo2Au

=====

Q: Which of these has the lowest total magnetization?
A: ZnMo2Au

=====

Q: Look up the total magnetization of the first one.
A: 1.90 μB/cell